DFT (PBE) results for a relaxed structure of NdYHo2.

Cell lengths 3.6543, 11.4119, 6.2922 Å; angles 90.00, 90.00, 90.00 degrees
Last column: nearest neighbours and their distance in Å.
Space group Imm2 (No. 44)
Unique sites:
Nd 0.0000 0.0000 0.0000  6 Ho 3.54-3.55, 4 Y 3.63-3.65, 2 Nd 3.65
Y 0.0000 0.5000 0.9979  6 Ho 3.54-3.55, 4 Nd 3.63-3.65, 2 Y 3.65
Ho 0.0000 0.2489 0.6646  3 Y 3.54-3.55, 3 Nd 3.54-3.55, 6 Ho 3.64-3.65

Calculated values
- ρ (g/cm3) = 7.13
- density of states at the Fermi level (states/eV per atom) = 1.7417
- energy above the lowest structure with this stoichiometry (eV per formula unit) = 0.034
- crystal system = orthorhombic
- formation enthalpy at 0 K (eV per atom) = 0.016